Computed, not measured: crystalline CsZnNiO2 at its relaxed geometry at the PBE+U level of DFT.

The space group is P2/c (No. 13) and the conventional cell measures 6.768, 4.040 and 6.552 Å, with angles of 90.00, 98.27 and 90.00 degrees. The asymmetric unit holds Cs at (0.000, 0.221, 0.250), Zn at (0.500, 0.000, 0.000), Ni at (0.500, 0.495, 0.750) and O at (0.315, 0.345, 0.971).

For the total energy, the calculation gives -18.9 eV/f.u. The value obtained for the total magnetization is 2.0 Bohr magnetons per cell.